VASP calculation (PBE) on an optimized crystal structure of NaTaCr2.

Properties
excess energy over the best structure of this formula in the dataset = 0.0000 eV per atom
raw total energy = -6.994 eV per atom

Unit cell a=6.279 b=6.279 c=6.279 alpha=90.00 beta=90.00 gamma=90.00
Space group Fm-3m (No. 225)
Unique sites:
Na: 0.000 0.000 0.000 [4 per cell]
Ta: 0.000 0.000 0.500 [4 per cell]
Cr: 0.250 0.250 0.250 [8 per cell]

VASP calculation (PBE) on an optimized crystal structure of Sc2Zn2Ir.

Properties
excess energy over the best structure of this formula in the dataset = 0.2182 eV per atom
raw total energy = -5.136 eV per atom

Unit cell a=3.382 b=3.382 c=16.604 alpha=90.00 beta=90.00 gamma=90.00
Space group I4/mmm (No. 139)
Unique sites:
Sc: 0.000 0.000 0.091 [4 per cell]
Zn: 0.000 0.500 0.250 [4 per cell]
Ir: 0.000 0.000 0.500 [2 per cell]

VASP calculation (PBE) on an optimized crystal structure of IrSeSN2.

Properties
excess energy over the best structure of this formula in the dataset = 0.7152 eV per atom
energy relative to the elements, uncorrected = 1.611 eV/atom
raw total energy = -5.014 eV per atom

Unit cell a=3.426 b=3.426 c=7.009 alpha=90.00 beta=90.00 gamma=90.00
Space group P4/mmm (No. 123)
Unique sites:
Ir: 0.000 0.000 0.000 [1 per cell]
Se: 0.500 0.500 0.000 [1 per cell]
S: 0.000 0.000 0.500 [1 per cell]
N: 0.000 0.500 0.500 [2 per cell]

VASP calculation (PBE) on an optimized crystal structure of Ta2AlAg.

Properties
excess energy over the best structure of this formula in the dataset = 0.6189 eV per atom
raw total energy = -6.964 eV per atom

Unit cell a=7.444 b=7.444 c=5.392 alpha=90.00 beta=90.00 gamma=90.00
Space group I-42d (No. 122)
Unique sites:
Ta: 0.247 0.250 0.125 [8 per cell]
Al: 0.000 0.000 0.000 [4 per cell]
Ag: 0.000 0.000 0.500 [4 per cell]

VASP calculation (PBE) on an optimized crystal structure of Pm3Dy2Pb3.

Properties
excess energy over the best structure of this formula in the dataset = 0.1433 eV per atom
raw total energy = -4.731 eV per atom

Unit cell a=4.433 b=4.989 c=21.825 alpha=90.00 beta=90.00 gamma=90.00
Space group Immm (No. 71)
Unique sites:
Pm: 0.000 0.000 0.000 [2 per cell]
Pm: 0.000 0.500 0.121 [4 per cell]
Dy: 0.000 0.000 0.245 [4 per cell]
Pb: 0.000 0.000 0.500 [2 per cell]
Pb: 0.000 0.500 0.365 [4 per cell]

VASP calculation (PBE) on an optimized crystal structure of Ca2RuCl.

Properties
excess energy over the best structure of this formula in the dataset = 0.1784 eV per atom
energy relative to the elements, uncorrected = -0.463 eV/atom
raw total energy = -4.245 eV per atom

Unit cell a=7.388 b=7.386 c=3.221 alpha=90.00 beta=90.44 gamma=90.00
Space group C2/m (No. 12)
Unique sites:
Ca: 0.250 0.250 0.000 [4 per cell]
Ru: 0.000 0.000 0.500 [2 per cell]
Cl: 0.000 0.500 0.500 [2 per cell]

VASP calculation (PBE) on an optimized crystal structure of TaCoSn2.

Properties
excess energy over the best structure of this formula in the dataset = 0.0000 eV per atom
raw total energy = -6.304 eV per atom

Unit cell a=6.638 b=6.638 c=6.638 alpha=90.00 beta=90.00 gamma=90.00
Space group Fm-3m (No. 225)
Unique sites:
Ta: 0.000 0.000 0.000 [4 per cell]
Co: 0.000 0.000 0.500 [4 per cell]
Sn: 0.250 0.250 0.250 [8 per cell]

VASP calculation (PBE) on an optimized crystal structure of CaRe2F.

Properties
excess energy over the best structure of this formula in the dataset = 0.0000 eV per atom
energy relative to the elements, uncorrected = 0.953 eV/atom
raw total energy = -6.239 eV per atom

Unit cell a=4.715 b=4.715 c=16.395 alpha=90.00 beta=90.00 gamma=90.00
Space group I4_1/amd (No. 141, origin choice 2)
Unique sites:
Ca: 0.000 0.250 0.375 [4 per cell]
Re: 0.000 0.000 0.000 [8 per cell]
F: 0.000 0.250 0.875 [4 per cell]

Question: Which formula does entry 8 have?
Answer: CaRe2F